1.
This record from Alexandria describes Tb7CePr12 after structural relaxation. The functional is PBE-GGA.

Magnetization (μB per formula unit): 1.0
Formation energy from the elements (kJ per mole of atoms): 13.06
Space group: R-3 (148)
Crystal system: trigonal
E (Ry/atom): -0.34174

a = 9.8045 Å, b = 9.8045 Å, c = 9.8045 Å
α = 110.48°, β = 110.48°, γ = 110.48°
Last column: nearest neighbours and their distance in Å.
Element x y z (fractional)
Tb (0.8416, 0.5458, 0.7160)  1 Tb 3.04
Tb (0.4542, 0.2840, 0.1584)  1 Tb 3.04
Tb (0.2840, 0.1584, 0.4542)  1 Tb 3.04
Tb (0.5000, 0.5000, 0.5000)  6 Tb 3.04
Tb (0.7160, 0.8416, 0.5458)  1 Tb 3.04
Tb (0.5458, 0.7160, 0.8416)  1 Tb 3.04
Tb (0.1584, 0.4542, 0.2840)  1 Tb 3.04
Ce (0.0000, 0.0000, 0.0000)  6 Tb 3.67, 6 Pr 3.70
Pr (0.9038, 0.2686, 0.8437)  3 Tb 3.43-3.51, 7 Pr 3.69-3.81, 1 Ce 3.70
Pr (0.7314, 0.1563, 0.0962)  3 Tb 3.43-3.51, 7 Pr 3.69-3.81, 1 Ce 3.70
Pr (0.5826, 0.0826, 0.3762)  4 Tb 3.52-3.69, 8 Pr 3.69-3.94
Pr (0.9174, 0.6238, 0.4174)  4 Tb 3.52-3.69, 8 Pr 3.69-3.94
Pr (0.1563, 0.0962, 0.7314)  3 Tb 3.43-3.51, 7 Pr 3.69-3.81, 1 Ce 3.70
Pr (0.6238, 0.4174, 0.9174)  4 Tb 3.52-3.69, 8 Pr 3.69-3.94
Pr (0.3762, 0.5826, 0.0826)  4 Tb 3.52-3.69, 8 Pr 3.69-3.94
Pr (0.8437, 0.9038, 0.2686)  3 Tb 3.43-3.51, 7 Pr 3.69-3.81, 1 Ce 3.70
Pr (0.0826, 0.3762, 0.5826)  4 Tb 3.52-3.69, 8 Pr 3.69-3.94
Pr (0.4174, 0.9174, 0.6238)  4 Tb 3.52-3.69, 8 Pr 3.69-3.94
Pr (0.2686, 0.8437, 0.9038)  3 Tb 3.43-3.51, 7 Pr 3.69-3.81, 1 Ce 3.70
Pr (0.0962, 0.7314, 0.1563)  3 Tb 3.43-3.51, 7 Pr 3.69-3.81, 1 Ce 3.70

2.
This record from Alexandria describes ZrAs2Pt after structural relaxation. The functional is PBE-GGA.

Magnetization (μB per formula unit): 0.0
Formation energy from the elements (kJ per mole of atoms): -35.70
Space group: Cmmm (65)
Crystal system: orthorhombic
E (Ry/atom): -0.46613

a = 3.3776 Å, b = 3.3776 Å, c = 6.6946 Å
α = 90.00°, β = 90.00°, γ = 105.15°
Last column: nearest neighbours and their distance in Å.
Element x y z (fractional)
As (0.0000, 0.0000, 0.0166)  2 Pt 2.58, 2 Zr 2.72
As (0.0000, 0.0000, 0.4834)  2 Pt 2.58, 2 Zr 2.72
Zr (0.5000, 0.5000, 0.7500)  4 As 2.72
Pt (0.5000, 0.5000, 0.2500)  4 As 2.58